A plane-wave DFT calculation with PBE was carried out for a relaxed structure of Tl2SnP.

Unit cell a=7.7441 b=7.7441 c=7.7441 alpha=129.73 beta=129.73 gamma=73.85
Element x y z (fractional)
Tl 0.0904 0.6250 0.9654
Tl 0.3750 0.3404 0.4654
Tl 0.6596 0.1250 0.0346
Tl 0.8750 0.9096 0.5346
Sn 0.2500 0.7500 0.5000
Sn 0.5000 0.5000 0.0000
P 0.0000 0.0000 0.0000
P 0.7500 0.2500 0.5000

Results
Formation enthalpy at 0 K (eV/atom): 0.29
Crystal system: tetragonal
Magnetic moment (μB/cell): 0.0
ΔE to the lowest computed polymorph (meV per atom): 0.0